(1)
VASP calculation (GGA-PBE) on a relaxed Gd2LuAu crystal. Values from VASP.

Results
Total magnetic moment in μB/f.u.: 14.743
Symmetry: R-3m (166)
Energy in eV/atom: -8.85
ΔE_f in eV per atom: 0.14
Crystal system: trigonal

The structure in Quantum ESPRESSO input format:
```
&SYSTEM
  ibrav = 0, nat = 4, ntyp = 3
/
ATOMIC_SPECIES
Gd 157.25 Gd.upf
Lu 174.97 Lu.upf
Au 196.97 Au.upf
ATOMIC_POSITIONS crystal
Gd 0.084 0.084 0.084
Gd 0.916 0.916 0.916
Lu 0.500 0.500 0.500
Au 0.000 0.000 0.000
CELL_PARAMETERS angstrom
1.739 1.004 11.307
-1.739 1.004 11.307
0.000 -2.008 11.307
```



(2)
VASP calculation (GGA-PBE) on a relaxed Pa2B3Ir5 crystal. Values from VASP.

Results
Total magnetic moment in μB/f.u.: 0.000
Symmetry: Ibam (72)
Energy in eV/atom: -8.94
ΔE_f in eV per atom: -0.61
Crystal system: orthorhombic

The structure in Quantum ESPRESSO input format:
```
&SYSTEM
  ibrav = 0, nat = 20, ntyp = 3
/
ATOMIC_SPECIES
Pa 231.04 Pa.upf
B 10.81 B.upf
Ir 192.22 Ir.upf
ATOMIC_POSITIONS crystal
Pa 0.125 0.230 0.355
Pa 0.375 0.730 0.105
Pa 0.625 0.270 0.895
Pa 0.875 0.770 0.645
B 0.108 0.627 0.735
B 0.250 0.250 0.000
B 0.392 0.127 0.518
B 0.608 0.873 0.482
B 0.750 0.750 0.000
B 0.892 0.373 0.265
Ir 0.031 0.750 0.281
Ir 0.112 0.876 0.988
Ir 0.250 0.750 0.500
Ir 0.388 0.376 0.764
Ir 0.469 0.750 0.719
Ir 0.531 0.250 0.281
Ir 0.612 0.624 0.236
Ir 0.750 0.250 0.500
Ir 0.888 0.124 0.012
Ir 0.969 0.250 0.719
CELL_PARAMETERS angstrom
-4.379 6.158 2.765
4.379 -6.158 2.765
4.379 6.158 -2.765
```



(3)
VASP calculation (GGA-PBE) on a relaxed AcPmBeGa crystal. Values from VASP.

Results
Total magnetic moment in μB/f.u.: 0.000
Symmetry: F-43m (216)
Energy in eV/atom: -3.97
ΔE_f in eV per atom: -0.07
Crystal system: cubic

The structure in Quantum ESPRESSO input format:
```
&SYSTEM
  ibrav = 0, nat = 4, ntyp = 4
/
ATOMIC_SPECIES
Ac 227.00 Ac.upf
Pm 145.00 Pm.upf
Be 9.01 Be.upf
Ga 69.72 Ga.upf
ATOMIC_POSITIONS crystal
Ac 0.000 0.000 0.000
Pm 0.500 0.500 0.500
Be 0.750 0.750 0.750
Ga 0.250 0.250 0.250
CELL_PARAMETERS angstrom
0.000 3.732 3.732
3.732 0.000 3.732
3.732 3.732 0.000
```



(4)
VASP calculation (GGA-PBE) on a relaxed K2LiTl3Cl6 crystal. Values from VASP.

Results
Total magnetic moment in μB/f.u.: 0.000
Symmetry: C2/m (12)
Energy in eV/atom: -3.28
Crystal system: monoclinic

The structure in Quantum ESPRESSO input format:
```
&SYSTEM
  ibrav = 0, nat = 12, ntyp = 4
/
ATOMIC_SPECIES
K 39.10 K.upf
Li 6.94 Li.upf
Tl 204.38 Tl.upf
Cl 35.45 Cl.upf
ATOMIC_POSITIONS crystal
K 0.166 0.834 0.000
K 0.834 0.166 0.000
Li 0.500 0.500 0.000
Tl 0.000 0.000 0.500
Tl 0.330 0.670 0.500
Tl 0.670 0.330 0.500
Cl 0.141 0.431 0.789
Cl 0.268 0.268 0.246
Cl 0.431 0.141 0.789
Cl 0.569 0.859 0.211
Cl 0.732 0.732 0.754
Cl 0.859 0.569 0.211
CELL_PARAMETERS angstrom
3.841 -6.557 0.000
3.841 6.557 0.000
-2.580 0.000 7.285
```



(5)
VASP calculation (GGA-PBE) on a relaxed Ca6MgHg crystal. Values from VASP.

Results
Total magnetic moment in μB/f.u.: 0.000
Symmetry: I4/mmm (139)
Energy in eV/atom: -1.89
ΔE_f in eV per atom: -0.15
Crystal system: tetragonal

The structure in Quantum ESPRESSO input format:
```
&SYSTEM
  ibrav = 0, nat = 8, ntyp = 3
/
ATOMIC_SPECIES
Ca 40.08 Ca.upf
Mg 24.30 Mg.upf
Hg 200.59 Hg.upf
ATOMIC_POSITIONS crystal
Ca 0.101 0.601 0.500
Ca 0.248 0.248 0.000
Ca 0.399 0.899 0.500
Ca 0.601 0.101 0.500
Ca 0.752 0.752 0.000
Ca 0.899 0.399 0.500
Mg 0.000 0.000 0.000
Hg 0.500 0.500 0.000
CELL_PARAMETERS angstrom
-2.737 2.737 9.464
2.737 -2.737 9.464
2.737 2.737 -9.464
```



(6)
VASP calculation (GGA-PBE) on a relaxed NdAl2Rh crystal. Values from VASP.

Results
Total magnetic moment in μB/f.u.: 0.000
Symmetry: R-3m (166)
Energy in eV/atom: -5.61
ΔE_f in eV per atom: -0.71
Crystal system: trigonal

The structure in Quantum ESPRESSO input format:
```
&SYSTEM
  ibrav = 0, nat = 4, ntyp = 3
/
ATOMIC_SPECIES
Nd 144.24 Nd.upf
Al 26.98 Al.upf
Rh 102.91 Rh.upf
ATOMIC_POSITIONS crystal
Nd 0.000 0.000 0.000
Al 0.206 0.206 0.206
Al 0.794 0.794 0.794
Rh 0.500 0.500 0.500
CELL_PARAMETERS angstrom
2.116 1.221 5.370
-2.116 1.221 5.370
0.000 -2.443 5.370
```



- Look up the total magnetic moment of the sixth one.
  0.000 μB/f.u.